An optimized crystal structure of Li5InSn2. Source: the Alexandria database, functional PBE.

abc: 6.909 9.390 5.829
angles: 90.00 126.17 90.00
Space group Cm (No. 8)
Unique sites:
Li  0.000  0.000  0.000 x2
Li  0.002  0.500  0.497 x2
Li  0.248  0.248  0.497 x4
Li  0.497  0.000  0.994 x2
In  0.496  0.500  0.497 x2
Sn  0.248  0.250  0.997 x4

Output
Fermi-level density of states   2.694 states/eV/f.u.
Crystal system   monoclinic
Uncorrected energy   -2.870 eV/atom
DFT formation energy   -2.65 eV/f.u.